Arrangement w

Entry from the Alexandria database: LaBiP2S after structural relaxation (PBE).

Cell lengths 5.504, 5.504, 5.328 Å; angles 90.00, 90.00, 90.00 degrees
Space group P4/mmm (No. 123)
Inequivalent atoms, fractional coordinates:
La (0.000, 0.000, 0.000) x1
Bi (0.500, 0.500, 0.500) x1
P (0.000, 0.500, 0.000) x2
S (0.000, 0.000, 0.500) x1

Values from the calculation:
The calculation puts the density at 4.546 g/cm3. The density of states at the Fermi level comes out at 1.511 states/eV per atom.


Arrangement x

Entry from the Alexandria database: LaBiP2S after structural relaxation (PBE).

Cell lengths 5.143, 5.143, 5.242 Å; angles 90.00, 90.00, 90.00 degrees
Space group P4/mmm (No. 123)
Inequivalent atoms, fractional coordinates:
La (0.000, 0.000, 0.000) x1
Bi (0.500, 0.500, 0.500) x1
P (0.000, 0.500, 0.500) x2
S (0.500, 0.500, 0.000) x1

Values from the calculation:
The calculation puts the density at 5.293 g/cm3. The density of states at the Fermi level comes out at 0.879 states/eV per atom.


Question: which arrangement is favored energetically? Ranking from most to least stable: arrangement x, arrangement w.


Arrangement w

Entry from the Alexandria database: La2BiPb after structural relaxation (PBE).

Cell lengths 8.785, 8.785, 7.282 Å; angles 90.00, 90.00, 90.00 degrees
Space group I-42d (No. 122)
Inequivalent atoms, fractional coordinates:
La (0.250, 0.250, 0.125) x8
Bi (0.000, 0.000, 0.000) x4
Pb (0.000, 0.000, 0.500) x4

Values from the calculation:
The calculation puts the density at 8.202 g/cm3. The density of states at the Fermi level comes out at 0.887 states/eV per atom.


Arrangement x

Entry from the Alexandria database: La2BiPb after structural relaxation (PBE).

Cell lengths 8.076, 8.076, 8.076 Å; angles 90.00, 90.00, 90.00 degrees
Space group Fm-3m (No. 225)
Inequivalent atoms, fractional coordinates:
La (0.250, 0.250, 0.250) x8
Bi (0.000, 0.000, 0.000) x4
Pb (0.000, 0.000, 0.500) x4

Values from the calculation:
The calculation puts the density at 8.750 g/cm3. The density of states at the Fermi level comes out at 1.869 states/eV per atom.


Question: which arrangement is favored energetically? Ranking from most to least stable: arrangement x, arrangement w.